# 1
Below is a relaxed Y8Ni2Ag crystal, with properties calculated at the PBE level.

Unit cell a=7.7911 b=7.7911 c=5.5521 alpha=97.85 beta=97.85 gamma=114.39
Closest atoms and distances in Å follow each position.
Positions (direct):
Y (0.0000, 0.0000, 0.0000)  1 Ag 3.12, 2 Ni 3.12, 3 Y 3.27-3.40
Y (0.0467, 0.3047, 0.6026)  2 Ni 2.80-2.83
Y (0.1404, 0.6210, 0.1904)  2 Ni 2.89, 1 Ag 3.15
Y (0.3047, 0.0467, 0.6026)  2 Ni 2.80-2.83
Y (0.4566, 0.7147, 0.7783)  2 Ni 2.80-2.83
Y (0.6210, 0.1404, 0.1904)  2 Ni 2.89, 1 Ag 3.15
Y (0.7147, 0.4566, 0.7783)  2 Ni 2.80-2.83
Y (0.7613, 0.7613, 0.3808)  1 Ag 3.12, 2 Ni 3.12, 3 Y 3.27-3.40
Ni (0.0777, 0.6836, 0.6904)  8 Y 2.80-3.12
Ni (0.6836, 0.0777, 0.6904)  8 Y 2.80-3.12
Ag (0.3806, 0.3806, 0.1878)  4 Y 3.12-3.15

## Properties
**Space-group type**: Cm (8)
**ΔH_f (0 K)**: -1.10 eV/f.u.

=====

# 2
Below is a relaxed VHgI3 crystal, with properties calculated at the PBE level.

Unit cell a=10.7203 b=10.7203 c=10.7203 alpha=38.69 beta=38.69 gamma=38.69
Closest atoms and distances in Å follow each position.
Positions (direct):
V (0.1667, 0.1667, 0.1667)  6 I 2.76
V (0.8333, 0.8333, 0.8333)  6 I 2.76
Hg (0.3390, 0.3390, 0.3390)  3 Hg 4.11, 6 I 4.13-4.19
Hg (0.6610, 0.6610, 0.6610)  3 Hg 4.11, 6 I 4.13-4.19
I (0.0785, 0.8148, 0.4463)  2 V 2.76
I (0.1852, 0.5537, 0.9215)  2 V 2.76
I (0.4463, 0.0785, 0.8148)  2 V 2.76
I (0.5537, 0.9215, 0.1852)  2 V 2.76
I (0.8148, 0.4463, 0.0785)  2 V 2.76
I (0.9215, 0.1852, 0.5537)  2 V 2.76

## Properties
**Space-group type**: R-3 (148)
**ΔE_f (raw)**: -0.36 eV per atom
**E above lowest polymorph**: 0.00 eV per formula unit

=====

# 3
Below is a relaxed As2WBr crystal, with properties calculated at the PBE level.

Unit cell a=3.3279 b=4.8961 c=4.9127 alpha=102.20 beta=101.64 gamma=101.23
Closest atoms and distances in Å follow each position.
Positions (direct):
As (0.0000, 0.0000, 0.0000)  2 W 2.67, 2 Br 2.68
As (0.0000, 0.5000, 0.5000)  2 Br 2.67, 2 W 2.68
W (0.5000, 0.0000, 0.5000)  4 As 2.67-2.68
Br (0.5000, 0.5000, 0.0000)  4 As 2.67-2.68

## Properties
**Space-group type**: P-1 (2)
**ΔE_f (raw)**: 0.83 eV per atom
**E above lowest polymorph**: 2.98 eV per formula unit

=====

# 4
Below is a relaxed CdGaB crystal, with properties calculated at the PBE level.

Unit cell a=3.1417 b=6.0261 c=6.1397 alpha=114.27 beta=96.03 gamma=95.81
Closest atoms and distances in Å follow each position.
Positions (direct):
Cd (0.1586, 0.4363, 0.2601)  2 B 2.52-2.57, 1 Ga 2.79
Cd (0.8414, 0.5637, 0.7399)  2 B 2.52-2.57, 1 Ga 2.79
Ga (0.3063, 0.1407, 0.6911)  1 B 2.21
Ga (0.6937, 0.8593, 0.3089)  1 B 2.21
B (0.2449, 0.0072, 0.9739)  2 B 1.61-1.62
B (0.7551, 0.9928, 0.0261)  2 B 1.61-1.62

## Properties
**Space-group type**: P-1 (2)
**ΔH_f (0 K)**: 0.77 eV/f.u.

=====

Number 1: total moment 0.00 μB/f.u.. Number 2: total moment 2.00 μB/f.u.. Number 3: total moment 0.00 μB/f.u.. Number 4: total moment 0.00 μB/f.u..